Here is a relaxed structure of Sc3AgHg from Alexandria via LeMat-Bulk. Energies are from PBE.

abc: 5.163 5.163 5.163
angles: 90.00 90.00 90.00
Atoms (fractional coordinates):
Sc1 0.000 0.000 0.500
Sc2 0.000 0.500 0.000
Sc3 0.500 0.000 0.000
Ag1 0.000 0.000 0.000
Hg1 0.500 0.500 0.500

Computed properties:
DOS(E_F) = 2.301 states/eV/atom
Size of the total moment = 1.13 μB/f.u.
Energy relative to the elements = 0.33 eV per atom
Energy above the lowest structure with this stoichiometry = 0.593 eV/atom